# 1
VASP calculation (GGA-PBE) on a relaxed Nd2GdCd crystal.

Summary:
ρ (g/cm3): 7.24
ΔE_f (eV/atom): -0.0539
Offset from the most stable computed form (meV/atom): 87

Unit cell a=3.6439 b=3.6439 c=33.4036 alpha=90.00 beta=90.00 gamma=120.00
Space group R-3m (No. 166, hexagonal axes)
Unique sites:
Nd  0.0000  0.0000  0.2450 [6 per cell]
Gd  0.0000  0.0000  0.0000 [3 per cell]
Cd  0.0000  0.0000  0.5000 [3 per cell]

# 2
VASP calculation (GGA-PBE) on a relaxed BaCa2Gd crystal.

Summary:
ρ (g/cm3): 3.60
ΔE_f (eV/atom): 0.1526
Offset from the most stable computed form (meV/atom): 51

Unit cell a=8.8397 b=8.8397 c=8.8397 alpha=90.00 beta=90.00 gamma=90.00
Space group Fm-3m (No. 225)
Unique sites:
Ba  0.0000  0.0000  0.0000 [4 per cell]
Ca  0.2500  0.2500  0.2500 [8 per cell]
Gd  0.0000  0.0000  0.5000 [4 per cell]

# 3
VASP calculation (GGA-PBE) on a relaxed PH2PdF crystal.

Summary:
ρ (g/cm3): 4.93
E_tot (eV per atom): -4.017

Unit cell a=3.3498 b=3.3498 c=4.7586 alpha=90.00 beta=90.00 gamma=90.00
Space group P4/mmm (No. 123)
Unique sites:
P  0.0000  0.0000  0.0000 [1 per cell]
H  0.0000  0.5000  0.0000 [2 per cell]
Pd  0.0000  0.0000  0.5000 [1 per cell]
F  0.5000  0.5000  0.5000 [1 per cell]

# 4
VASP calculation (GGA-PBE) on a relaxed CsTe2As2Se6 crystal.

Summary:
ρ (g/cm3): 4.09
Formation energy from raw total energies (meV per atom): -178

Unit cell a=7.8707 b=7.9600 c=7.9628 alpha=106.71 beta=114.23 gamma=100.14
Space group P-1 (No. 2)
Unique sites:
Cs  0.0000  0.0000  0.0000 [1 per cell]
Te  0.3578  0.9837  0.6475 [2 per cell]
As  0.0019  0.5252  0.6623 [2 per cell]
Se  0.0454  0.2280  0.6495 [2 per cell]
Se  0.3354  0.7525  0.8697 [2 per cell]
Se  0.4741  0.2219  0.4854 [2 per cell]

# 5
VASP calculation (GGA-PBE) on a relaxed LaAsW crystal.

Summary:
ρ (g/cm3): 10.25
ΔE_f (eV/atom): -0.1108
Offset from the most stable computed form (meV/atom): 0

Unit cell a=3.3738 b=3.3738 c=11.3212 alpha=90.00 beta=90.00 gamma=90.00
Space group I4mm (No. 107)
Unique sites:
La  0.0000  0.0000  0.0000 [2 per cell]
As  0.0000  0.0000  0.2954 [2 per cell]
W  0.0000  0.0000  0.6995 [2 per cell]

# 6
VASP calculation (GGA-PBE) on a relaxed PaBeBi2O8 crystal.

Summary:
ρ (g/cm3): 7.56
Formation energy from raw total energies (meV per atom): -1762

Unit cell a=7.1833 b=7.3399 c=6.6149 alpha=90.00 beta=98.34 gamma=90.00
Space group C2/m (No. 12)
Unique sites:
Pa  0.0000  0.0000  0.0000 [2 per cell]
Be  0.0000  0.0000  0.5000 [2 per cell]
Bi  0.0391  0.5000  0.2683 [4 per cell]
O  0.0000  0.3001  0.5000 [4 per cell]
O  0.0000  0.3124  0.0000 [4 per cell]
O  0.1439  0.0000  0.7064 [4 per cell]
O  0.2236  0.0000  0.2173 [4 per cell]

Which value of ρ does entry 2 give?
3.60 g/cm3

Which formula does entry 1 have?
Nd2GdCd

ρ of number 3 (PH2PdF)?
4.93 g/cm3